# PBE-GGA Th4CoTe2Ir, optimized geometry
data_Th4CoTe2Ir
_symmetry_space_group_name_H-M 'P 1 2/m 1'
_symmetry_Int_Tables_number 10
_cell_length_a 7.113
_cell_length_b 4.207
_cell_length_c 8.005
_cell_angle_alpha 90.00
_cell_angle_beta 106.84
_cell_angle_gamma 90.00
loop_
_symmetry_equiv_pos_as_xyz
'x,y,z'
'-x,-y,-z'
'-x,y,-z'
'x,-y,z'
loop_
_atom_site_label
_atom_site_fract_x
_atom_site_fract_y
_atom_site_fract_z
Th1 0.231 0.000 0.197
Th2 0.253 0.500 0.802
Co1 0.000 0.500 0.000
Te1 0.000 0.000 0.500
Te2 0.500 0.500 0.500
Ir1 0.500 0.000 0.000
# Formation energy from raw total energies ... -0.94 eV per atom
# Density of states at the Fermi level ... 5.43 states/eV per cell
# DFT total energy ... -7.430 eV/atom
# Crystal system ... monoclinic